*A*
A relaxed Ba2CaCu crystal. Source: the Alexandria database, functional GGA-PBE.

DOS(E_F) ... 25.0 states/eV per cell
SG ... No. 225
Calculated density ... 3.76 g cm⁻³

Structure (extended XYZ):
```
16
Lattice="8.7396 0.0000 0.0000 0.0000 8.7396 0.0000 0.0000 0.0000 8.7396" Properties=species:S:1:pos:R:3 pbc="T T T"
Ba 2.1849 2.1849 2.1849
Ba 2.1849 2.1849 6.5547
Ba 2.1849 6.5547 2.1849
Ba 2.1849 6.5547 6.5547
Ba 6.5547 2.1849 2.1849
Ba 6.5547 2.1849 6.5547
Ba 6.5547 6.5547 2.1849
Ba 6.5547 6.5547 6.5547
Ca 0.0000 0.0000 0.0000
Ca 0.0000 4.3698 4.3698
Ca 4.3698 0.0000 4.3698
Ca 4.3698 4.3698 0.0000
Cu 0.0000 0.0000 4.3698
Cu 0.0000 4.3698 0.0000
Cu 4.3698 0.0000 0.0000
Cu 4.3698 4.3698 4.3698
```

=====

*B*
A relaxed Ba2CaCu crystal. Source: the Alexandria database, functional GGA-PBE.

DOS(E_F) ... 5.2 states/eV per cell
SG ... No. 123
Calculated density ... 3.79 g cm⁻³

Structure (extended XYZ):
```
4
Lattice="4.0275 0.0000 0.0000 0.0000 4.0275 0.0000 0.0000 0.0000 10.2109" Properties=species:S:1:pos:R:3 pbc="T T T"
Ba 0.0000 0.0000 1.8882
Ba 0.0000 0.0000 8.3226
Ca 2.0137 2.0137 5.1054
Cu 2.0137 2.0137 0.0000
```

=====

*C*
A relaxed Ba2CaCu crystal. Source: the Alexandria database, functional GGA-PBE.

DOS(E_F) ... 4.1 states/eV per cell
SG ... No. 6
Calculated density ... 3.59 g cm⁻³

Structure (extended XYZ):
```
4
Lattice="5.1661 0.0000 0.0000 0.0000 4.2205 0.0000 -2.5816 0.0000 8.0195" Properties=species:S:1:pos:R:3 pbc="T T T"
Ba 0.0000 0.0000 0.0000
Ba 0.0049 2.1103 5.2471
Ca 2.5867 0.0000 2.8573
Cu 2.5745 2.1103 0.6326
```

=====

*D*
A relaxed Ba2CaCu crystal. Source: the Alexandria database, functional GGA-PBE.

DOS(E_F) ... 14.1 states/eV per cell
SG ... No. 166
Calculated density ... 3.35 g cm⁻³

Structure (extended XYZ):
```
12
Lattice="4.4732 0.0000 0.0000 -2.2366 3.8739 0.0000 0.0000 0.0000 32.4221" Properties=species:S:1:pos:R:3 pbc="T T T"
Ba 0.0000 0.0000 7.3170
Ba 0.0000 0.0000 25.1051
Ba 0.0000 2.5826 14.2977
Ba 0.0000 2.5826 28.9317
Ba 2.2366 1.2913 3.4904
Ba 2.2366 1.2913 18.1243
Ca 0.0000 0.0000 0.0000
Ca 0.0000 2.5826 21.6147
Ca 2.2366 1.2913 10.8073
Cu 0.0000 0.0000 16.2110
Cu 0.0000 2.5826 5.4037
Cu 2.2366 1.2913 27.0184
```

=====

The structure with the greatest stability is *B*.

=====

*A*
A relaxed Ba2CaCu crystal. Source: the Alexandria database, functional GGA-PBE.

DOS(E_F) ... 18.4 states/eV per cell
SG ... No. 216
Calculated density ... 4.30 g cm⁻³

Structure (extended XYZ):
```
16
Lattice="8.3632 0.0000 0.0000 0.0000 8.3632 0.0000 0.0000 0.0000 8.3632" Properties=species:S:1:pos:R:3 pbc="T T T"
Ba 0.0000 0.0000 0.0000
Ba 0.0000 4.1816 4.1816
Ba 2.0908 2.0908 2.0908
Ba 2.0908 6.2724 6.2724
Ba 4.1816 0.0000 4.1816
Ba 4.1816 4.1816 0.0000
Ba 6.2724 2.0908 6.2724
Ba 6.2724 6.2724 2.0908
Ca 2.0908 2.0908 6.2724
Ca 2.0908 6.2724 2.0908
Ca 6.2724 2.0908 2.0908
Ca 6.2724 6.2724 6.2724
Cu 0.0000 0.0000 4.1816
Cu 0.0000 4.1816 0.0000
Cu 4.1816 0.0000 0.0000
Cu 4.1816 4.1816 4.1816
```

=====

*B*
A relaxed Ba2CaCu crystal. Source: the Alexandria database, functional GGA-PBE.

DOS(E_F) ... 6.8 states/eV per cell
SG ... No. 123
Calculated density ... 3.77 g cm⁻³

Structure (extended XYZ):
```
4
Lattice="6.0722 0.0000 0.0000 0.0000 6.0722 0.0000 0.0000 0.0000 4.5159" Properties=species:S:1:pos:R:3 pbc="T T T"
Ba 0.0000 3.0361 0.0000
Ba 3.0361 0.0000 0.0000
Ca 0.0000 0.0000 2.2580
Cu 3.0361 3.0361 2.2580
```

=====

*C*
A relaxed Ba2CaCu crystal. Source: the Alexandria database, functional GGA-PBE.

DOS(E_F) ... 3.8 states/eV per cell
SG ... No. 99
Calculated density ... 3.88 g cm⁻³

Structure (extended XYZ):
```
4
Lattice="3.9552 0.0000 0.0000 0.0000 3.9552 0.0000 0.0000 0.0000 10.3371" Properties=species:S:1:pos:R:3 pbc="T T T"
Ba 0.0000 0.0000 0.0000
Ba 1.9776 1.9776 3.6383
Ca 0.0000 0.0000 6.8002
Cu 1.9776 1.9776 8.2825
```

=====

*D*
A relaxed Ba2CaCu crystal. Source: the Alexandria database, functional GGA-PBE.

DOS(E_F) ... 9.8 states/eV per cell
SG ... No. 44
Calculated density ... 3.80 g cm⁻³

Structure (extended XYZ):
```
8
Lattice="4.0367 0.0000 0.0000 0.0000 6.2568 0.0000 0.0000 0.0000 13.0829" Properties=species:S:1:pos:R:3 pbc="T T T"
Ba 0.0000 0.0000 0.0000
Ba 0.0000 3.1284 2.4141
Ba 2.0184 0.0000 8.9556
Ba 2.0184 3.1284 6.5414
Ca 0.0000 3.1284 10.7112
Ca 2.0184 0.0000 4.1698
Cu 0.0000 0.0000 6.3775
Cu 2.0184 3.1284 12.9189
```

=====

The structure with the greatest stability is *C*.

=====

*A*
A relaxed Ba2CaCu crystal. Source: the Alexandria database, functional GGA-PBE.

DOS(E_F) ... 10.0 states/eV per cell
SG ... No. 119
Calculated density ... 3.86 g cm⁻³

Structure (extended XYZ):
```
8
Lattice="5.1306 0.0000 0.0000 0.0000 5.1306 0.0000 0.0000 0.0000 12.3563" Properties=species:S:1:pos:R:3 pbc="T T T"
Ba 0.0000 0.0000 0.0000
Ba 0.0000 2.5653 3.0891
Ba 2.5653 0.0000 9.2672
Ba 2.5653 2.5653 6.1781
Ca 0.0000 2.5653 9.2672
Ca 2.5653 0.0000 3.0891
Cu 0.0000 0.0000 6.1781
Cu 2.5653 2.5653 0.0000
```

=====

*B*
A relaxed Ba2CaCu crystal. Source: the Alexandria database, functional GGA-PBE.

DOS(E_F) ... 27.8 states/eV per cell
SG ... No. 122
Calculated density ... 3.38 g cm⁻³

Structure (extended XYZ):
```
16
Lattice="11.1144 0.0000 0.0000 0.0000 11.1144 0.0000 0.0000 0.0000 6.0221" Properties=species:S:1:pos:R:3 pbc="T T T"
Ba 1.3786 2.7786 0.7528
Ba 2.7786 6.9359 2.2583
Ba 2.7786 9.7358 5.2693
Ba 4.1786 2.7786 3.7638
Ba 6.9359 8.3358 3.7638
Ba 8.3358 1.3786 5.2693
Ba 8.3358 4.1786 2.2583
Ba 9.7358 8.3358 0.7528
Ca 0.0000 0.0000 3.0110
Ca 0.0000 5.5572 4.5166
Ca 5.5572 0.0000 1.5055
Ca 5.5572 5.5572 0.0000
Cu 0.0000 0.0000 0.0000
Cu 0.0000 5.5572 1.5055
Cu 5.5572 0.0000 4.5166
Cu 5.5572 5.5572 3.0110
```

=====

*C*
A relaxed Ba2CaCu crystal. Source: the Alexandria database, functional GGA-PBE.

DOS(E_F) ... 7.8 states/eV per cell
SG ... No. 71
Calculated density ... 3.85 g cm⁻³

Structure (extended XYZ):
```
8
Lattice="4.1663 0.0000 0.0000 0.0000 6.2440 0.0000 0.0000 0.0000 12.5465" Properties=species:S:1:pos:R:3 pbc="T T T"
Ba 0.0000 0.0000 2.3942
Ba 0.0000 0.0000 10.1523
Ba 2.0832 3.1220 3.8791
Ba 2.0832 3.1220 8.6674
Ca 0.0000 3.1220 0.0000
Ca 2.0832 0.0000 6.2732
Cu 0.0000 3.1220 6.2732
Cu 2.0832 0.0000 0.0000
```

=====

The structure with the greatest stability is *C*.

=====

*A*
A relaxed BaCa3Cu crystal. Source: the Alexandria database, functional GGA-PBE.

DOS(E_F) ... 7.4 states/eV per cell
SG ... No. 221
Calculated density ... 2.69 g cm⁻³

Structure (extended XYZ):
```
5
Lattice="5.8341 0.0000 0.0000 0.0000 5.8341 0.0000 0.0000 0.0000 5.8341" Properties=species:S:1:pos:R:3 pbc="T T T"
Ba 0.0000 0.0000 0.0000
Ca 0.0000 2.9171 2.9171
Ca 2.9171 0.0000 2.9171
Ca 2.9171 2.9171 0.0000
Cu 2.9171 2.9171 2.9171
```

=====

*B*
A relaxed BaCa3Cu crystal. Source: the Alexandria database, functional GGA-PBE.

DOS(E_F) ... 7.1 states/eV per cell
SG ... No. 221
Calculated density ... 2.69 g cm⁻³

Structure (extended XYZ):
```
5
Lattice="5.8295 0.0000 0.0000 0.0000 5.8295 0.0000 0.0000 0.0000 5.8295" Properties=species:S:1:pos:R:3 pbc="T T T"
Ba 0.0000 0.0000 0.0000
Ca 0.0000 0.0000 2.9147
Ca 0.0000 2.9147 0.0000
Ca 2.9147 0.0000 0.0000
Cu 2.9147 2.9147 2.9147
```

=====

The structure with the greatest stability is *A*.